1.
First-principles (PBE) data for RbSrAg2 after structural relaxation, as listed in Alexandria.

abc: 5.7684 5.7684 5.7684
angles: 60.00 60.00 60.00
Fractional positions:
Sr: 0.5000 0.5000 0.5000
Rb: 0.0000 0.0000 0.0000
Ag: 0.2500 0.2500 0.2500
Ag: 0.7500 0.7500 0.7500

DFT formation energy (kJ per mole of atoms): 0
Space-group type: Fm-3m (225)
DFT total energy (eV per atom): -2.091
Calculated density (g cm⁻³): 4.757

***

2.
First-principles (PBE) data for RbSr2Ag after structural relaxation, as listed in Alexandria.

abc: 10.4174 10.4174 8.3248
angles: 51.27 51.27 90.00
Fractional positions:
Sr: 0.7239 0.1250 0.2500
Sr: 0.0261 0.6250 0.2500
Sr: 0.3750 0.2761 0.7500
Sr: 0.8750 0.9739 0.7500
Rb: 0.5000 0.5000 0.0000
Rb: 0.2500 0.7500 0.5000
Ag: 0.0000 0.0000 0.0000
Ag: 0.7500 0.2500 0.5000

DFT formation energy (kJ per mole of atoms): 9
Space-group type: I-42d (122)
DFT total energy (eV per atom): -1.701
Calculated density (g cm⁻³): 2.908

***

3.
First-principles (PBE) data for Rb2SrAg2 after structural relaxation, as listed in Alexandria.

abc: 5.0828 5.0828 8.6677
angles: 72.95 72.95 90.00
Fractional positions:
Sr: 0.0000 0.0000 0.0000
Rb: 0.7500 0.2500 0.5000
Rb: 0.2500 0.7500 0.5000
Ag: 0.4140 0.4140 0.1719
Ag: 0.5860 0.5860 0.8281

DFT formation energy (kJ per mole of atoms): 11
Space-group type: I4/mmm (139)
DFT total energy (eV per atom): -1.750
Calculated density (g cm⁻³): 3.865

***

4.
First-principles (PBE) data for RbSr2Ag after structural relaxation, as listed in Alexandria.

abc: 4.6881 4.6881 11.5333
angles: 78.27 78.27 60.00
Fractional positions:
Rb: 0.5006 0.5006 0.4982
Sr: 0.0511 0.0511 0.8466
Sr: 0.2819 0.2819 0.1542
Ag: 0.6663 0.6663 0.0010

DFT formation energy (kJ per mole of atoms): -8
Space-group type: R3m (160)
DFT total energy (eV per atom): -1.874
Calculated density (g cm⁻³): 2.868

***

- calculated density of number 3 (Rb2SrAg2)?
  3.865 g cm⁻³